A plane-wave DFT calculation with PBE-GGA was carried out for a relaxed structure of NiBi2Mo.

Cell lengths 7.5261, 7.5261, 6.2015 Å; angles 52.64, 52.64, 90.00 degrees
Closest atoms and distances in Å follow each position.
Sites, in units of the cell vectors:
Ni  0.5000  0.5000  0.0000  4 Bi 2.60
Ni  0.2500  0.7500  0.5000  4 Bi 2.60
Mo  0.0000  0.0000  0.0000  4 Bi 2.97, 2 Ni 3.18
Mo  0.7500  0.2500  0.5000  4 Bi 2.97, 2 Ni 3.18
Bi  0.5880  0.1250  0.2500  2 Ni 2.60
Bi  0.1620  0.6250  0.2500  2 Ni 2.60
Bi  0.3750  0.4120  0.7500  2 Ni 2.60
Bi  0.8750  0.8380  0.7500  2 Ni 2.60

Calculated values
E_form   78 kJ per mole of atoms
Energy   -21.2 eV per formula unit
ΔE to the lowest computed polymorph   156 meV/atom
Space group   I-42d (122)

A plane-wave DFT calculation with PBE-GGA was carried out for a relaxed structure of Li6BiPb5.

Cell lengths 5.0433, 7.2135, 8.7146 Å; angles 114.45, 106.82, 90.00 degrees
Closest atoms and distances in Å follow each position.
Sites, in units of the cell vectors:
Pb  0.6730  0.1730  0.3460  8 Li 3.05-3.13
Pb  0.3345  0.3345  0.6691  8 Li 3.10-3.12
Pb  0.0000  0.5000  0.0000  8 Li 3.09-3.14
Pb  0.6655  0.6655  0.3309  8 Li 3.10-3.12
Pb  0.3270  0.8270  0.6540  8 Li 3.05-3.13
Bi  0.0000  0.0000  0.0000  8 Li 3.05-3.06
Li  0.8348  0.5897  0.6695  7 Pb 3.05-3.12, 1 Bi 3.05
Li  0.8347  0.0798  0.6695  7 Pb 3.05-3.12, 1 Bi 3.05
Li  0.5000  0.7590  0.0000  2 Bi 3.06, 6 Pb 3.11-3.14
Li  0.5000  0.2410  0.0000  2 Bi 3.06, 6 Pb 3.11-3.14
Li  0.1653  0.9202  0.3305  7 Pb 3.05-3.12, 1 Bi 3.05
Li  0.1652  0.4103  0.3305  7 Pb 3.05-3.12, 1 Bi 3.05

Calculated values
E_form   -28 kJ per mole of atoms
Energy   -37.4 eV per formula unit
Space group   Immm (71)

A plane-wave DFT calculation with PBE-GGA was carried out for a relaxed structure of Na3Np2MoN6.

Cell lengths 5.7604, 5.7604, 5.9917 Å; angles 99.13, 99.13, 120.03 degrees
Closest atoms and distances in Å follow each position.
Sites, in units of the cell vectors:
Na  0.1597  0.8403  0.5000  6 N 2.55-2.70
Na  0.8403  0.1597  0.5000  6 N 2.55-2.70
Na  0.5000  0.5000  0.5000  6 N 2.59-2.64
Np  0.3332  0.6668  0.0000  6 N 2.22
Np  0.6668  0.3332  0.0000  6 N 2.22
Mo  0.0000  0.0000  0.0000  6 N 2.15
N  0.9375  0.6135  0.8112  1 Mo 2.15, 2 Np 2.22
N  0.7378  0.7378  0.1884  1 Mo 2.15, 2 Np 2.22
N  0.0625  0.3865  0.1888  1 Mo 2.15, 2 Np 2.22
N  0.6135  0.9375  0.8112  1 Mo 2.15, 2 Np 2.22
N  0.2622  0.2622  0.8116  1 Mo 2.15, 2 Np 2.22
N  0.3865  0.0625  0.1888  1 Mo 2.15, 2 Np 2.22

Calculated values
Energy   -98.7 eV per formula unit
Space group   C2/m (12)

A plane-wave DFT calculation with PBE-GGA was carried out for a relaxed structure of CsSrTc2O7.

Cell lengths 3.9228, 3.9228, 12.0870 Å; angles 99.34, 99.34, 90.00 degrees
Closest atoms and distances in Å follow each position.
Sites, in units of the cell vectors:
Cs  0.2500  0.7500  0.5000  4 O 2.84
Sr  0.5000  0.5000  0.0000  12 O 2.72-2.77
Tc  0.9133  0.9133  0.8265  5 O 1.79-1.97
Tc  0.0867  0.0867  0.1735  5 O 1.79-1.97
O  0.0802  0.5802  0.1603  2 Tc 1.97
O  0.0000  0.0000  0.0000  2 Tc 2.04
O  0.4198  0.9198  0.8397  2 Tc 1.97
O  0.8374  0.8374  0.6747  1 Tc 1.79
O  0.5798  0.0798  0.1596  2 Tc 1.97
O  0.1626  0.1626  0.3253  1 Tc 1.79
O  0.9202  0.4202  0.8404  2 Tc 1.97

Calculated values
Energy   -77.0 eV per formula unit
Space group   I-4m2 (119)

A plane-wave DFT calculation with PBE-GGA was carried out for a relaxed structure of Mg2AgIrS.

Cell lengths 4.7957, 4.3576, 4.7957 Å; angles 90.00, 90.00, 90.00 degrees
Closest atoms and distances in Å follow each position.
Sites, in units of the cell vectors:
S  0.0000  0.0000  0.0000  2 Ir 2.18, 4 Mg 2.40
Ir  0.0000  0.5000  0.0000  2 S 2.18
Mg  0.0000  0.0000  0.5000  2 S 2.40
Mg  0.5000  0.0000  0.0000  2 S 2.40
Ag  0.5000  0.5000  0.5000  8 Mg 3.24, 4 Ir 3.39

Calculated values
Energy   -18.7 eV per formula unit
Space group   P4/mmm (123)